Model i:
Sr2AsO5 | PBE | optimized geometry

Results
Size of the total moment in μB per cell: 2.053

```
Sr2AsO5
1.0
2.046 -6.050 0.000
2.046 6.050 0.000
0.000 0.000 10.723
Sr As O
4 2 10
Direct
0.140 0.860 0.577 Sr
0.140 0.860 0.923 Sr
0.860 0.140 0.077 Sr
0.860 0.140 0.423 Sr
0.160 0.840 0.250 As
0.840 0.160 0.750 As
0.053 0.947 0.133 O
0.053 0.947 0.367 O
0.263 0.737 0.124 O
0.263 0.737 0.376 O
0.309 0.691 0.750 O
0.691 0.309 0.250 O
0.737 0.263 0.624 O
0.737 0.263 0.876 O
0.947 0.053 0.633 O
0.947 0.053 0.867 O
```



Model ii:
Sr2AsO5 | PBE | optimized geometry

Results
Size of the total moment in μB per cell: 2.080

```
Sr2AsO5
1.0
5.777 0.000 0.000
0.000 5.777 0.000
0.000 0.000 7.670
Sr As O
4 2 10
Direct
0.000 0.500 0.000 Sr
0.000 0.500 0.500 Sr
0.500 0.000 0.000 Sr
0.500 0.000 0.500 Sr
0.000 0.000 0.234 As
0.500 0.500 0.734 As
0.000 0.000 0.011 O
0.215 0.215 0.291 O
0.215 0.785 0.291 O
0.285 0.285 0.791 O
0.285 0.715 0.791 O
0.500 0.500 0.511 O
0.715 0.285 0.791 O
0.715 0.715 0.791 O
0.785 0.215 0.291 O
0.785 0.785 0.291 O
```



Stability check: which of them is least stable? model i.



Model i:
Sr2AsO | PBE | optimized geometry

Results
Size of the total moment in μB per cell: 4.000

```
Sr2AsO
1.0
7.238 0.000 0.000
0.000 7.238 0.000
0.000 0.000 7.238
Sr As O
8 4 4
Direct
0.250 0.250 0.250 Sr
0.250 0.250 0.750 Sr
0.250 0.750 0.250 Sr
0.250 0.750 0.750 Sr
0.750 0.250 0.250 Sr
0.750 0.250 0.750 Sr
0.750 0.750 0.250 Sr
0.750 0.750 0.750 Sr
0.000 0.000 0.000 As
0.000 0.500 0.500 As
0.500 0.000 0.500 As
0.500 0.500 0.000 As
0.000 0.000 0.500 O
0.000 0.500 0.000 O
0.500 0.000 0.000 O
0.500 0.500 0.500 O
```



Model ii:
Sr2AsO | PBE | optimized geometry

Results
Size of the total moment in μB per cell: 4.000

```
Sr2AsO
1.0
7.165 0.000 0.000
0.000 7.165 0.000
0.000 0.000 8.519
Sr As O
8 4 4
Direct
0.167 0.250 0.125 Sr
0.250 0.667 0.375 Sr
0.250 0.833 0.875 Sr
0.333 0.250 0.625 Sr
0.667 0.750 0.625 Sr
0.750 0.167 0.875 Sr
0.750 0.333 0.375 Sr
0.833 0.750 0.125 Sr
0.000 0.000 0.500 As
0.000 0.500 0.750 As
0.500 0.000 0.250 As
0.500 0.500 0.000 As
0.000 0.000 0.000 O
0.000 0.500 0.250 O
0.500 0.000 0.750 O
0.500 0.500 0.500 O
```



Model iii:
Sr2AsO | PBE | optimized geometry

Results
Size of the total moment in μB per cell: 0.000

```
Sr2AsO
1.0
3.872 0.000 0.000
-1.936 3.353 0.000
0.000 0.000 21.865
Sr As O
6 3 3
Direct
0.000 0.000 0.233 Sr
0.000 0.000 0.767 Sr
0.333 0.667 0.433 Sr
0.333 0.667 0.900 Sr
0.667 0.333 0.100 Sr
0.667 0.333 0.567 Sr
0.000 0.000 0.000 As
0.333 0.667 0.667 As
0.667 0.333 0.333 As
0.000 0.000 0.500 O
0.333 0.667 0.167 O
0.667 0.333 0.833 O
```



Stability check: which of them is least stable? model i.



Model i:
TaAs2O2 | PBE | optimized geometry

Results
Size of the total moment in μB per cell: 0.000

```
TaAs2O2
1.0
5.385 0.000 0.000
0.000 5.385 0.000
0.000 0.000 6.030
Ta As O
2 4 4
Direct
0.000 0.000 0.000 Ta
0.500 0.500 0.000 Ta
0.247 0.253 0.500 As
0.253 0.753 0.500 As
0.747 0.247 0.500 As
0.753 0.747 0.500 As
0.200 0.700 0.000 O
0.300 0.200 0.000 O
0.700 0.800 0.000 O
0.800 0.300 0.000 O
```



Model ii:
TaAs2O2 | PBE | optimized geometry

Results
Size of the total moment in μB per cell: 0.000

```
TaAs2O2
1.0
3.148 0.000 0.000
0.000 3.148 0.000
0.000 0.000 17.616
Ta As O
2 4 4
Direct
0.000 0.000 0.000 Ta
0.500 0.500 0.500 Ta
0.000 0.500 0.250 As
0.000 0.500 0.750 As
0.500 0.000 0.250 As
0.500 0.000 0.750 As
0.000 0.000 0.434 O
0.000 0.000 0.566 O
0.500 0.500 0.066 O
0.500 0.500 0.934 O
```



Stability check: which of them is least stable? model ii.